[1]
Computed, not measured: a geometry-optimized Ca3CoW structure at the PBE level of DFT.

For the calculated total energy, the calculation gives -3.545 eV per atom. The formation energy comes out at 1.67 eV/atom.

The structure belongs to space group Pm-3m (No. 221); the cell edges are 5.4320, 5.4320 and 5.4320 Å and the angles 90.00°, 90.00° and 90.00°. The distinct sites, in fractional coordinates, are Ca at (0.0000, 0.0000, 0.5000), Co at (0.5000, 0.5000, 0.5000) and W at (0.0000, 0.0000, 0.0000).

---

[2]
Computed, not measured: a geometry-optimized Ca2CoW structure at the PBE level of DFT.

For the calculated total energy, the calculation gives -5.017 eV per atom. The formation energy comes out at 1.00 eV/atom.

The structure belongs to space group F-43m (No. 216); the cell edges are 6.7905, 6.7905 and 6.7905 Å and the angles 90.00°, 90.00° and 90.00°. The distinct sites, in fractional coordinates, are Ca at (0.0000, 0.0000, 0.0000), Ca at (0.2500, 0.2500, 0.2500), Co at (0.2500, 0.2500, 0.7500) and W at (0.0000, 0.0000, 0.5000).

---

[3]
Computed, not measured: a geometry-optimized Ca2CoW structure at the PBE level of DFT.

For the calculated total energy, the calculation gives -4.860 eV per atom. The formation energy comes out at 1.16 eV/atom.

The structure belongs to space group Fm-3m (No. 225); the cell edges are 7.0882, 7.0882 and 7.0882 Å and the angles 90.00°, 90.00° and 90.00°. The distinct sites, in fractional coordinates, are Ca at (0.2500, 0.2500, 0.2500), Co at (0.0000, 0.0000, 0.0000) and W at (0.0000, 0.0000, 0.5000).

---

[4]
Computed, not measured: a geometry-optimized CaCo3W structure at the PBE level of DFT.

For the calculated total energy, the calculation gives -6.382 eV per atom. The formation energy comes out at 0.87 eV/atom.

The structure belongs to space group Pm-3m (No. 221); the cell edges are 4.5400, 4.5400 and 4.5400 Å and the angles 90.00°, 90.00° and 90.00°. The distinct sites, in fractional coordinates, are Ca at (0.0000, 0.0000, 0.0000), Co at (0.0000, 0.5000, 0.5000) and W at (0.5000, 0.5000, 0.5000).

---

[5]
Computed, not measured: a geometry-optimized CaCoW3 structure at the PBE level of DFT.

For the calculated total energy, the calculation gives -8.261 eV per atom. The formation energy comes out at 1.33 eV/atom.

The structure belongs to space group Pm-3m (No. 221); the cell edges are 4.5968, 4.5968 and 4.5968 Å and the angles 90.00°, 90.00° and 90.00°. The distinct sites, in fractional coordinates, are Ca at (0.0000, 0.0000, 0.0000), Co at (0.5000, 0.5000, 0.5000) and W at (0.0000, 0.5000, 0.5000).

---

[6]
Computed, not measured: a geometry-optimized Ca2CoW structure at the PBE level of DFT.

For the calculated total energy, the calculation gives -5.630 eV per atom. The formation energy comes out at 0.39 eV/atom.

The structure belongs to space group P4mm (No. 99); the cell edges are 3.2148, 3.2148 and 8.9060 Å and the angles 90.00°, 90.00° and 90.00°. The distinct sites, in fractional coordinates, are Ca at (0.0000, 0.0000, 0.0000), Ca at (0.5000, 0.5000, 0.3822), Co at (0.0000, 0.0000, 0.6285) and W at (0.5000, 0.5000, 0.7356).